Computed, not measured: crystalline BC at its relaxed geometry at the PBE-GGA level of DFT.

Cell lengths 3.7136, 2.6488, 8.5129 Å; angles 90.00, 92.05, 90.00 degrees
Closest atoms and distances in Å follow each position.
Element x y z (fractional)
B 0.0279 0.2500 0.1368  2 C 1.56
B 0.3206 0.2500 0.9787  1 C 1.63, 1 B 1.76
B 0.4055 0.2500 0.3666  3 C 1.59
B 0.5945 0.7500 0.6334  3 C 1.59
B 0.6794 0.7500 0.0213  1 C 1.63, 1 B 1.76
B 0.9721 0.7500 0.8632  2 C 1.56
C 0.1196 0.2500 0.5010  1 B 1.59, 3 C 1.59-1.61
C 0.1384 0.2500 0.8020  1 C 1.50, 3 B 1.56-1.63
C 0.3667 0.2500 0.6596  2 C 1.50-1.61, 2 B 1.59
C 0.6333 0.7500 0.3404  2 C 1.50-1.61, 2 B 1.59
C 0.8616 0.7500 0.1980  1 C 1.50, 3 B 1.56-1.63
C 0.8804 0.7500 0.4990  1 B 1.59, 3 C 1.59-1.61

## Properties
* spin magnetization: 0.0 μB per cell
* DFT formation energy: 0.822 eV per formula unit
* offset from the most stable computed form: 260.3 meV per atom
* total energy: -7.5395 eV/atom
* space-group type: P2_1/m, No. 11
* D(E_F): 0.196 states/eV/atom

***

Computed, not measured: crystalline B7C5 at its relaxed geometry at the PBE-GGA level of DFT.

Cell lengths 4.8168, 2.6030, 6.7931 Å; angles 90.00, 96.66, 90.00 degrees
Closest atoms and distances in Å follow each position.
Element x y z (fractional)
B 0.0000 0.0000 0.0000  5 B 1.67-1.86
B 0.0463 0.0000 0.7407  3 C 1.69-1.77, 1 B 1.80
B 0.1259 0.5000 0.4170  2 C 1.57-1.64
B 0.1768 0.0000 0.2351  4 B 1.72-1.86
B 0.3478 0.0000 0.0038  2 C 1.55, 1 B 1.67
B 0.7270 0.0000 0.4507  3 C 1.54-1.58
B 0.7871 0.5000 0.1077  2 C 1.58-1.60
C 0.2127 0.5000 0.6477  1 C 1.57, 3 B 1.57-1.69
C 0.5057 0.5000 0.9638  3 B 1.55-1.58, 1 C 1.57
C 0.5281 0.5000 0.7357  4 C 1.57
C 0.6800 0.0000 0.6764  2 C 1.57, 1 B 1.58
C 0.7888 0.5000 0.3433  4 B 1.54-1.64

## Properties
* spin magnetization: 0.0 μB per cell
* DFT formation energy: 4.886 eV per formula unit
* offset from the most stable computed form: 242.7 meV per atom
* total energy: -7.3313 eV/atom
* space-group type: Pm, No. 6
* D(E_F): 0.151 states/eV/atom

***

Computed, not measured: crystalline BC at its relaxed geometry at the PBE-GGA level of DFT.

Cell lengths 7.1192, 7.1192, 4.6258 Å; angles 106.27, 106.27, 21.48 degrees
Closest atoms and distances in Å follow each position.
Element x y z (fractional)
B 0.0000 0.0000 0.0000  3 C 1.60-1.68
B 0.1816 0.1816 0.5168  3 C 1.60
B 0.3525 0.3525 0.3238  2 C 1.57, 1 B 1.68
B 0.3922 0.3922 0.7019  3 B 1.68-1.71
B 0.5006 0.5006 0.5339  3 C 1.63-1.67
B 0.8615 0.8615 0.8898  1 C 1.54, 2 B 1.71
C 0.0481 0.0481 0.7259  1 C 1.51, 3 B 1.60-1.63
C 0.1609 0.1609 0.8401  3 C 1.51-1.60, 1 B 1.60
C 0.5393 0.5393 0.2240  1 C 1.55, 3 B 1.67-1.68
C 0.6548 0.6548 0.3158  2 C 1.55-1.58, 2 B 1.60
C 0.6969 0.6969 0.0333  4 C 1.55-1.60
C 0.8124 0.8124 0.1487  3 B 1.54-1.57, 1 C 1.55

## Properties
* spin magnetization: 0.0 μB per cell
* DFT formation energy: 0.852 eV per formula unit
* offset from the most stable computed form: 275.4 meV per atom
* total energy: -7.5245 eV/atom
* space-group type: Cm, No. 8
* D(E_F): 0.164 states/eV/atom

***

Computed, not measured: crystalline BC at its relaxed geometry at the PBE-GGA level of DFT.

Cell lengths 4.6380, 4.6380, 7.6364 Å; angles 116.07, 116.07, 33.04 degrees
Closest atoms and distances in Å follow each position.
Element x y z (fractional)
B 0.0000 0.0000 0.0000  2 C 1.59
B 0.1011 0.1011 0.4294  1 C 1.63, 2 B 1.69
B 0.3492 0.3492 0.7259  3 C 1.56-1.62
B 0.5019 0.5019 0.1852  1 C 1.57, 1 B 1.74
B 0.7002 0.7002 0.3904  4 B 1.69-1.76
B 0.8443 0.8443 0.2911  3 C 1.57-1.69
C 0.1659 0.1659 0.9698  3 C 1.50-1.60, 1 B 1.59
C 0.3189 0.3189 0.1688  1 C 1.50, 3 B 1.57
C 0.4935 0.4935 0.6532  3 C 1.57, 1 B 1.62
C 0.6632 0.6632 0.8506  4 C 1.53-1.60
C 0.8183 0.8183 0.8135  1 C 1.53, 3 B 1.56-1.59
C 0.9780 0.9780 0.5356  2 C 1.57, 2 B 1.63-1.69

## Properties
* spin magnetization: 0.0 μB per cell
* DFT formation energy: 0.798 eV per formula unit
* offset from the most stable computed form: 248.4 meV per atom
* total energy: -7.5514 eV/atom
* space-group type: Cm, No. 8
* D(E_F): 0.155 states/eV/atom

***

Computed, not measured: crystalline B3C at its relaxed geometry at the PBE-GGA level of DFT.

Cell lengths 2.6766, 2.6766, 12.7442 Å; angles 90.00, 90.00, 90.00 degrees
Closest atoms and distances in Å follow each position.
Element x y z (fractional)
B 0.0000 0.0000 0.0000  4 B 1.82
B 0.0000 0.0000 0.3254  2 C 1.53
B 0.0000 0.0000 0.6746  2 C 1.53
B 0.0000 0.5000 0.0973  4 B 1.82-1.88
B 0.0000 0.5000 0.4393  2 C 1.55
B 0.5000 0.0000 0.5607  2 C 1.55
B 0.5000 0.0000 0.9027  4 B 1.82-1.88
B 0.5000 0.5000 0.2008  2 C 1.58
B 0.5000 0.5000 0.7992  2 C 1.58
C 0.0000 0.5000 0.7330  4 B 1.53-1.58
C 0.5000 0.0000 0.2670  4 B 1.53-1.58
C 0.5000 0.5000 0.5000  4 B 1.55

## Properties
* spin magnetization: 0.0 μB per cell
* DFT formation energy: 1.888 eV per formula unit
* offset from the most stable computed form: 231.3 meV per atom
* total energy: -6.8421 eV/atom
* space-group type: P-4m2, No. 115
* D(E_F): 0.320 states/eV/atom

***

Computed, not measured: crystalline B3C5 at its relaxed geometry at the PBE-GGA level of DFT.

Cell lengths 4.6047, 2.6498, 4.6805 Å; angles 90.00, 110.15, 90.00 degrees
Closest atoms and distances in Å follow each position.
Element x y z (fractional)
B 0.0000 0.0000 0.0000  3 C 1.56
B 0.1748 0.0000 0.5236  3 C 1.58-1.61
B 0.5255 0.5000 0.0843  4 C 1.62-1.67
C 0.0130 0.5000 0.5738  2 C 1.55-1.62, 2 B 1.58
C 0.1502 0.5000 0.9429  3 B 1.56-1.62, 1 C 1.62
C 0.5391 0.0000 0.5765  3 C 1.58-1.60, 1 B 1.61
C 0.6454 0.0000 0.9362  3 B 1.56-1.67, 1 C 1.58
C 0.6539 0.5000 0.4552  3 C 1.55-1.60, 1 B 1.63

## Properties
* spin magnetization: 0.0 μB per cell
* DFT formation energy: 3.017 eV per formula unit
* offset from the most stable computed form: 102.9 meV per atom
* total energy: -7.8918 eV/atom
* space-group type: Pm, No. 6
* D(E_F): 0.101 states/eV/atom

***

Computed, not measured: crystalline BC at its relaxed geometry at the PBE-GGA level of DFT.

Cell lengths 6.2304, 6.2304, 5.3019 Å; angles 103.81, 103.81, 24.51 degrees
Closest atoms and distances in Å follow each position.
Element x y z (fractional)
B 0.0000 0.0000 0.0000  4 B 1.72-1.91
B 0.0047 0.0047 0.6420  2 C 1.65, 1 B 1.73
B 0.2378 0.2378 0.4768  4 C 1.66-1.69
B 0.5915 0.5915 0.1491  2 C 1.56-1.64
B 0.8728 0.8728 0.3689  2 C 1.53
B 0.8810 0.8810 0.7474  2 C 1.57, 2 B 1.72-1.73
C 0.2449 0.2449 0.9763  4 C 1.51-1.60
C 0.3165 0.3165 0.7813  1 C 1.51, 3 B 1.57-1.66
C 0.3181 0.3181 0.2586  3 B 1.53-1.69, 1 C 1.54
C 0.5870 0.5870 0.6506  2 C 1.48-1.58, 2 B 1.65
C 0.6513 0.6513 0.4459  1 C 1.48, 1 B 1.56
C 0.6682 0.6682 0.9334  3 C 1.58-1.60, 1 B 1.64

## Properties
* spin magnetization: 0.0 μB per cell
* DFT formation energy: 0.775 eV per formula unit
* offset from the most stable computed form: 236.8 meV per atom
* total energy: -7.5631 eV/atom
* space-group type: Cm, No. 8
* D(E_F): 0.257 states/eV/atom

***

Computed, not measured: crystalline B7C5 at its relaxed geometry at the PBE-GGA level of DFT.

Cell lengths 6.8778, 6.8778, 5.1230 Å; angles 93.62, 93.62, 23.00 degrees
Closest atoms and distances in Å follow each position.
Element x y z (fractional)
B 0.0000 0.0000 0.0000  4 C 1.56-1.74
B 0.1669 0.1669 0.4273  2 C 1.58, 1 B 1.74
B 0.2116 0.2116 0.7540  1 C 1.64, 4 B 1.69-1.76
B 0.3376 0.3376 0.8656  3 C 1.58-1.74, 1 B 1.76
B 0.5013 0.5013 0.3015  4 C 1.59-1.71
B 0.6555 0.6555 0.8681  1 C 1.51, 2 B 1.69
B 0.8402 0.8402 0.4458  3 C 1.57-1.58
C 0.2956 0.2956 0.5366  4 B 1.58-1.74
C 0.5629 0.5629 0.0192  3 B 1.51-1.61
C 0.6191 0.6191 0.3332  3 B 1.58-1.59, 1 C 1.73
C 0.8840 0.8840 0.9664  3 B 1.56-1.58, 1 C 1.71
C 0.9348 0.9348 0.2814  4 B 1.57-1.74, 1 C 1.71

## Properties
* spin magnetization: 0.3 μB per cell
* DFT formation energy: 3.322 eV per formula unit
* offset from the most stable computed form: 112.5 meV per atom
* total energy: -7.4616 eV/atom
* space-group type: Cm, No. 8
* D(E_F): 0.170 states/eV/atom

***

Computed, not measured: crystalline B7C5 at its relaxed geometry at the PBE-GGA level of DFT.

Cell lengths 3.7186, 4.0206, 5.9560 Å; angles 86.79, 74.77, 89.41 degrees
Closest atoms and distances in Å follow each position.
Element x y z (fractional)
B 0.0000 0.0000 0.0000  2 C 1.62-1.65, 1 B 1.66
B 0.0302 0.8268 0.4809  2 C 1.60-1.61, 2 B 1.74-1.76
B 0.0930 0.6876 0.7498  1 C 1.52
B 0.1978 0.2998 0.1926  3 C 1.66-1.72
B 0.6631 0.2225 0.4632  2 C 1.57-1.62
B 0.7347 0.0093 0.7238  1 C 1.61, 1 B 1.76
B 0.8496 0.3444 0.8892  1 C 1.61, 2 B 1.66-1.71
C 0.3741 0.8030 0.8737  1 C 1.49, 3 B 1.52-1.62
C 0.4001 0.0229 0.3368  1 C 1.55, 3 B 1.61-1.66
C 0.5207 0.5723 0.0333  2 C 1.49-1.52, 1 B 1.61
C 0.6793 0.7764 0.1928  3 C 1.52-1.55, 1 B 1.65
C 0.8635 0.5566 0.3491  1 C 1.53, 2 B 1.57-1.60

## Properties
* spin magnetization: 0.0 μB per cell
* DFT formation energy: 4.533 eV per formula unit
* offset from the most stable computed form: 213.3 meV per atom
* total energy: -7.3607 eV/atom
* space-group type: P1, No. 1
* D(E_F): 0.171 states/eV/atom

***

Computed, not measured: crystalline BC at its relaxed geometry at the PBE-GGA level of DFT.

Cell lengths 2.6624, 2.7240, 7.5912 Å; angles 90.00, 90.00, 90.00 degrees
Closest atoms and distances in Å follow each position.
Element x y z (fractional)
B 0.2500 0.0000 0.1001  2 C 1.53
B 0.2500 0.5000 0.6909  4 C 1.60-1.74
B 0.7500 0.0000 0.8999  2 C 1.53
B 0.7500 0.5000 0.3091  4 C 1.60-1.74
C 0.2500 0.0000 0.5493  2 C 1.53
C 0.2500 0.5000 0.1920  4 B 1.53-1.60
C 0.7500 0.0000 0.4507  2 C 1.53
C 0.7500 0.5000 0.8080  4 B 1.53-1.60

## Properties
* spin magnetization: 0.0 μB per cell
* DFT formation energy: 0.684 eV per formula unit
* offset from the most stable computed form: 191.2 meV per atom
* total energy: -7.6086 eV/atom
* space-group type: Pmma, No. 51
* D(E_F): 0.141 states/eV/atom